## w
DFT (PBE-GGA) results for a geometry-optimized Zr3TcP structure.

- density of states at the Fermi level (states/eV/cell) = 7.95
- SG = Pm-3m (221)

Cell: 4.969 4.969 4.969 Å, 90.00 90.00 90.00°
Positions (direct):
P1 0.500 0.500 0.500
Tc1 0.000 0.000 0.000
Zr1 0.000 0.500 0.000
Zr2 0.000 0.000 0.500
Zr3 0.500 0.000 0.000

## x
DFT (PBE-GGA) results for a geometry-optimized Zr3TcP structure.

- density of states at the Fermi level (states/eV/cell) = 5.11
- SG = Pm-3m (221)

Cell: 4.813 4.813 4.813 Å, 90.00 90.00 90.00°
Site moments in Bohr magnetons follow the coordinates.
Positions (direct):
P1 0.000 0.000 0.000  0.01
Tc1 0.500 0.500 0.500  1.66
Zr1 0.000 0.500 0.000  -0.03
Zr2 0.000 0.000 0.500  -0.07
Zr3 0.500 0.000 0.000  -0.09

Which is more stable than every other structure shown? x is more stable than every other one.